Record 1
! Ag3W PBE optimized geometry; values from VASP
&SYSTEM
  ibrav = 0, nat = 8, ntyp = 2
/
ATOMIC_SPECIES
Ag 107.87 Ag.upf
W 183.84 W.upf
ATOMIC_POSITIONS crystal
Ag 0.500 0.663 0.000
Ag 0.000 0.829 0.249
Ag 0.500 0.171 0.251
Ag 0.000 0.337 0.500
Ag 0.000 0.829 0.751
Ag 0.500 0.171 0.749
W 0.000 0.327 0.000
W 0.500 0.673 0.500
CELL_PARAMETERS angstrom
-1.961 -2.124 3.720
4.450 -0.986 1.782
-0.030 5.182 2.943
! - crystal system = orthorhombic
! - ΔH_f (0 K) (eV/f.u.) = 3.445
! - energy (Ha/atom) = -0.16594
! - offset from the most stable computed form (eV per atom) = 0.472
! - space group = No. 59

---

Record 2
! La2NdDy6Ho3 PBE optimized geometry; values from VASP
&SYSTEM
  ibrav = 0, nat = 12, ntyp = 4
/
ATOMIC_SPECIES
La 138.91 La.upf
Nd 144.24 Nd.upf
Dy 162.50 Dy.upf
Ho 164.93 Ho.upf
ATOMIC_POSITIONS crystal
La 0.333 0.667 0.000
La 0.667 0.333 0.000
Nd 0.000 0.000 0.000
Dy 0.914 0.581 0.744
Dy 0.753 0.753 0.256
Dy 0.086 0.419 0.256
Dy 0.581 0.914 0.744
Dy 0.247 0.247 0.744
Dy 0.419 0.086 0.256
Ho 0.167 0.833 0.500
Ho 0.833 0.167 0.500
Ho 0.500 0.500 0.500
CELL_PARAMETERS angstrom
6.214 -0.001 0.004
-3.106 5.382 0.004
-1.043 -1.806 11.675
! - crystal system = monoclinic
! - ΔH_f (0 K) (eV/f.u.) = 0.265
! - energy (Ha/atom) = -0.17059
! - space group = No. 12

---

Record 3
! BaSiNi2Au PBE optimized geometry; values from VASP
&SYSTEM
  ibrav = 0, nat = 5, ntyp = 4
/
ATOMIC_SPECIES
Ni 58.69 Ni.upf
Si 28.09 Si.upf
Au 196.97 Au.upf
Ba 137.33 Ba.upf
ATOMIC_POSITIONS crystal
Ni 0.000 0.000 0.500
Ni 0.500 0.000 0.000
Si 0.000 0.000 0.000
Au 0.000 0.500 0.000
Ba 0.500 0.500 0.500
CELL_PARAMETERS angstrom
4.581 0.000 0.000
0.000 4.964 0.000
0.000 0.000 4.581
! - crystal system = tetragonal
! - energy (Ha/atom) = -0.16737
! - space group = No. 123

---

Record 4
! NaSmBi PBE optimized geometry; values from VASP
&SYSTEM
  ibrav = 0, nat = 3, ntyp = 3
/
ATOMIC_SPECIES
Na 22.99 Na.upf
Bi 208.98 Bi.upf
Sm 150.36 Sm.upf
ATOMIC_POSITIONS crystal
Na 0.858 0.000 0.000
Bi 0.804 0.667 0.333
Sm 0.338 0.333 0.667
CELL_PARAMETERS angstrom
3.900 0.000 0.000
0.000 5.133 0.000
0.000 -2.567 4.445
! - crystal system = trigonal
! - ΔH_f (0 K) (eV/f.u.) = -0.873
! - energy (Ha/atom) = -0.13220
! - space group = No. 156

---

Record 5
! Pm2Sn3Hg4 PBE optimized geometry; values from VASP
&SYSTEM
  ibrav = 0, nat = 18, ntyp = 3
/
ATOMIC_SPECIES
Pm 145.00 Pm.upf
Sn 118.71 Sn.upf
Hg 200.59 Hg.upf
ATOMIC_POSITIONS crystal
Pm 0.118 0.560 0.237
Pm 0.882 0.440 0.763
Pm 0.382 0.060 0.763
Pm 0.618 0.940 0.237
Sn 0.000 0.000 0.000
Sn 0.500 0.500 0.000
Sn 0.533 0.750 0.566
Sn 0.967 0.250 0.434
Sn 0.467 0.250 0.434
Sn 0.033 0.750 0.566
Hg 0.716 0.750 0.932
Hg 0.784 0.250 0.068
Hg 0.284 0.250 0.068
Hg 0.216 0.750 0.932
Hg 0.177 0.953 0.355
Hg 0.823 0.047 0.645
Hg 0.323 0.453 0.645
Hg 0.677 0.547 0.355
CELL_PARAMETERS angstrom
6.425 0.000 0.000
0.000 9.141 0.000
-3.212 0.000 8.104
! - crystal system = orthorhombic
! - ΔH_f (0 K) (eV/f.u.) = -2.508
! - energy (Ha/atom) = -0.10300
! - space group = No. 64

---

Record 6
! Ce5In2Tc PBE optimized geometry; values from VASP
&SYSTEM
  ibrav = 0, nat = 8, ntyp = 3
/
ATOMIC_SPECIES
Ce 140.12 Ce.upf
In 114.82 In.upf
Tc 98.00 Tc.upf
ATOMIC_POSITIONS crystal
Ce 0.678 0.678 0.953
Ce 0.678 0.275 0.953
Ce 0.276 0.678 0.953
Ce 0.275 0.275 0.953
Ce 0.826 0.826 0.652
In 0.723 0.223 0.447
In 0.223 0.723 0.447
Tc 0.098 0.098 0.196
CELL_PARAMETERS angstrom
-4.220 2.612 -5.004
-2.564 -6.453 -1.206
0.430 2.568 5.941
! - crystal system = tetragonal
! - ΔH_f (0 K) (eV/f.u.) = -0.960
! - energy (Ha/atom) = -0.21348
! - space group = No. 107

---

Record 7
! CdHg2Br6 PBE optimized geometry; values from VASP
&SYSTEM
  ibrav = 0, nat = 18, ntyp = 3
/
ATOMIC_SPECIES
Cd 112.41 Cd.upf
Hg 200.59 Hg.upf
Br 79.90 Br.upf
ATOMIC_POSITIONS crystal
Cd 0.250 0.192 0.808
Cd 0.750 0.808 0.192
Hg 0.106 0.624 0.795
Hg 0.394 0.205 0.376
Hg 0.894 0.376 0.205
Hg 0.606 0.795 0.624
Br 0.330 0.714 0.563
Br 0.170 0.437 0.286
Br 0.670 0.286 0.437
Br 0.830 0.563 0.714
Br 0.871 0.850 0.395
Br 0.629 0.605 0.150
Br 0.129 0.150 0.605
Br 0.371 0.395 0.850
Br 0.082 0.804 0.977
Br 0.418 0.023 0.196
Br 0.918 0.196 0.023
Br 0.582 0.977 0.804
CELL_PARAMETERS angstrom
-6.010 -3.286 1.678
2.424 -9.040 4.815
-3.362 3.795 9.224
! - crystal system = monoclinic
! - energy (Ha/atom) = -0.06784
! - space group = No. 15

---

Record 8
! ZnPt2 PBE optimized geometry; values from VASP
&SYSTEM
  ibrav = 0, nat = 6, ntyp = 2
/
ATOMIC_SPECIES
Zn 65.41 Zn.upf
Pt 195.08 Pt.upf
ATOMIC_POSITIONS crystal
Zn 0.000 0.000 0.000
Zn 0.250 0.250 0.250
Pt 0.625 0.625 0.625
Pt 0.125 0.625 0.625
Pt 0.625 0.125 0.625
Pt 0.625 0.625 0.125
CELL_PARAMETERS angstrom
0.000 3.724 3.724
3.724 0.000 3.724
3.724 3.724 0.000
! - crystal system = cubic
! - ΔH_f (0 K) (eV/f.u.) = 0.000
! - energy (Ha/atom) = -0.16360
! - space group = No. 227

---

Record 9
! ThTi2Zn PBE optimized geometry; values from VASP
&SYSTEM
  ibrav = 0, nat = 4, ntyp = 3
/
ATOMIC_SPECIES
Zn 65.41 Zn.upf
Th 232.04 Th.upf
Ti 47.87 Ti.upf
ATOMIC_POSITIONS crystal
Zn 0.500 0.500 0.000
Th 0.500 0.500 0.500
Ti 0.000 0.000 0.804
Ti 0.000 0.000 0.196
CELL_PARAMETERS angstrom
3.322 0.000 0.000
0.000 3.322 0.000
0.000 0.000 7.286
! - crystal system = tetragonal
! - ΔH_f (0 K) (eV/f.u.) = 0.265
! - energy (Ha/atom) = -0.22250
! - offset from the most stable computed form (eV per atom) = 0.000
! - space group = No. 123

---

Record 10
! KGa2Ag4 PBE optimized geometry; values from VASP
&SYSTEM
  ibrav = 0, nat = 14, ntyp = 3
/
ATOMIC_SPECIES
K 39.10 K.upf
Ag 107.87 Ag.upf
Ga 69.72 Ga.upf
ATOMIC_POSITIONS crystal
K 0.500 0.000 0.000
K 0.000 0.500 0.500
Ag 0.000 0.089 0.343
Ag 0.000 0.911 0.657
Ag 0.500 0.157 0.589
Ag 0.500 0.843 0.411
Ag 0.500 0.411 0.843
Ag 0.500 0.589 0.157
Ag 0.000 0.343 0.089
Ag 0.000 0.657 0.911
Ga 0.000 0.221 0.779
Ga 0.000 0.779 0.221
Ga 0.500 0.721 0.721
Ga 0.500 0.279 0.279
CELL_PARAMETERS angstrom
-0.773 3.274 2.656
-3.929 -5.129 5.180
7.135 -1.500 3.926
! - crystal system = tetragonal
! - ΔH_f (0 K) (eV/f.u.) = -0.239
! - energy (Ha/atom) = -0.09867
! - space group = No. 136

---

Record 11
! NpTiNi PBE optimized geometry; values from VASP
&SYSTEM
  ibrav = 0, nat = 3, ntyp = 3
/
ATOMIC_SPECIES
Ni 58.69 Ni.upf
Ti 47.87 Ti.upf
Np 237.00 Np.upf
ATOMIC_POSITIONS crystal
Ni 0.848 0.694 0.695
Ti 0.484 0.468 0.968
Np 0.669 0.838 0.337
CELL_PARAMETERS angstrom
2.608 0.000 0.000
0.000 2.565 -0.241
-1.304 -1.930 7.023
! - crystal system = orthorhombic
! - ΔH_f (0 K) (eV/f.u.) = 0.791
! - energy (Ha/atom) = -0.31636
! - space group = No. 38

---

Record 12
! BaCaRh2 PBE optimized geometry; values from VASP
&SYSTEM
  ibrav = 0, nat = 4, ntyp = 3
/
ATOMIC_SPECIES
Ca 40.08 Ca.upf
Rh 102.91 Rh.upf
Ba 137.33 Ba.upf
ATOMIC_POSITIONS crystal
Ca 0.500 0.758 0.859
Rh 0.000 0.176 0.023
Rh 0.500 0.091 0.194
Ba 0.000 0.475 0.425
CELL_PARAMETERS angstrom
4.567 0.000 0.000
0.000 4.605 0.011
0.000 2.290 5.355
! - crystal system = orthorhombic
! - ΔH_f (0 K) (eV/f.u.) = -0.784
! - energy (Ha/atom) = -0.17833
! - offset from the most stable computed form (eV per atom) = 0.000
! - space group = No. 38